(1)
# NaH2C2N3O GGA-PBE optimized geometry
data_NaH2C2N3O
_chemical_formula_sum 'Na6 H12 C12 N18 O6'
_cell_length_a 10.3365
_cell_length_b 10.3365
_cell_length_c 6.7705
_cell_angle_alpha 90.00
_cell_angle_beta 90.00
_cell_angle_gamma 120.00
_symmetry_space_group_name_H-M 'P 1'
_symmetry_Int_Tables_number 1
loop_
_symmetry_equiv_pos_as_xyz
'x,y,z'
loop_
_atom_site_label
_atom_site_fract_x
_atom_site_fract_y
_atom_site_fract_z
_atom_site_occupancy
Na1 0.0000 0.5939 0.0000 1
Na2 0.0000 0.5939 0.5000 1
Na3 0.4061 0.4061 0.0000 1
Na4 0.4061 0.4061 0.5000 1
Na5 0.5939 0.0000 0.0000 1
Na6 0.5939 0.0000 0.5000 1
H1 0.1693 0.8216 0.2500 1
H2 0.1784 0.3476 0.2500 1
H3 0.2093 0.5127 0.2500 1
H4 0.3033 0.7907 0.2500 1
H5 0.3476 0.1784 0.7500 1
H6 0.4873 0.6967 0.2500 1
H7 0.5127 0.2093 0.7500 1
H8 0.6524 0.8307 0.2500 1
H9 0.6967 0.4873 0.7500 1
H10 0.7907 0.3033 0.7500 1
H11 0.8216 0.1693 0.7500 1
H12 0.8307 0.6524 0.7500 1
C1 0.0640 0.9164 0.7500 1
C2 0.0836 0.1477 0.7500 1
C3 0.1192 0.3861 0.7500 1
C4 0.1477 0.0836 0.2500 1
C5 0.2669 0.8808 0.7500 1
C6 0.3861 0.1192 0.2500 1
C7 0.6139 0.7331 0.7500 1
C8 0.7331 0.6139 0.2500 1
C9 0.8523 0.9360 0.7500 1
C10 0.8808 0.2669 0.2500 1
C11 0.9164 0.0640 0.2500 1
C12 0.9360 0.8523 0.2500 1
N1 0.0664 0.1536 0.2500 1
N2 0.0799 0.4758 0.7500 1
N3 0.0871 0.9336 0.2500 1
N4 0.1228 0.8238 0.7500 1
N5 0.1536 0.0664 0.7500 1
N6 0.1762 0.2990 0.7500 1
N7 0.2990 0.1762 0.2500 1
N8 0.3960 0.9201 0.7500 1
N9 0.4758 0.0799 0.2500 1
N10 0.5242 0.6040 0.7500 1
N11 0.6040 0.5242 0.2500 1
N12 0.7010 0.8772 0.7500 1
N13 0.8238 0.1228 0.2500 1
N14 0.8464 0.9129 0.2500 1
N15 0.8772 0.7010 0.2500 1
N16 0.9129 0.8464 0.7500 1
N17 0.9201 0.3960 0.2500 1
N18 0.9336 0.0871 0.7500 1
O1 0.1944 0.7384 0.2500 1
O2 0.2616 0.4560 0.2500 1
O3 0.4560 0.2616 0.7500 1
O4 0.5440 0.8056 0.2500 1
O5 0.7384 0.1944 0.7500 1
O6 0.8056 0.5440 0.7500 1
# * DFT total energy: -6.733 eV per atom

---

(2)
# NaH10C6N7O7 GGA-PBE optimized geometry
data_NaH10C6N7O7
_chemical_formula_sum 'Na2 H20 C12 N14 O14'
_cell_length_a 7.8366
_cell_length_b 8.7875
_cell_length_c 9.9552
_cell_angle_alpha 90.96
_cell_angle_beta 101.57
_cell_angle_gamma 112.45
_symmetry_space_group_name_H-M 'P 1'
_symmetry_Int_Tables_number 1
loop_
_symmetry_equiv_pos_as_xyz
'x,y,z'
loop_
_atom_site_label
_atom_site_fract_x
_atom_site_fract_y
_atom_site_fract_z
_atom_site_occupancy
Na1 0.2465 0.0072 0.4807 1
Na2 0.7535 0.9928 0.5193 1
H1 0.0187 0.6812 0.5210 1
H2 0.0211 0.6415 0.3630 1
H3 0.1620 0.0755 0.8954 1
H4 0.2536 0.6259 0.5251 1
H5 0.3400 0.3846 0.5728 1
H6 0.3499 0.4448 0.1045 1
H7 0.3911 0.2101 0.1545 1
H8 0.4514 0.2912 0.6681 1
H9 0.4553 0.6356 0.5111 1
H10 0.4730 0.6455 0.7258 1
H11 0.5270 0.3545 0.2742 1
H12 0.5447 0.3644 0.4889 1
H13 0.5486 0.7088 0.3319 1
H14 0.6089 0.7899 0.8455 1
H15 0.6501 0.5552 0.8955 1
H16 0.6600 0.6154 0.4272 1
H17 0.7464 0.3741 0.4749 1
H18 0.8380 0.9245 0.1046 1
H19 0.9789 0.3585 0.6370 1
H20 0.9813 0.3188 0.4790 1
C1 0.0629 0.8693 0.7493 1
C2 0.1125 0.6376 0.8279 1
C3 0.1715 0.4108 0.9093 1
C4 0.2305 0.8908 0.9870 1
C5 0.3022 0.6631 0.0633 1
C6 0.3983 0.9039 0.2101 1
C7 0.6017 0.0961 0.7899 1
C8 0.6978 0.3369 0.9367 1
C9 0.7695 0.1092 0.0130 1
C10 0.8285 0.5892 0.0907 1
C11 0.8875 0.3624 0.1721 1
C12 0.9371 0.1307 0.2507 1
N1 0.0418 0.7090 0.7283 1
N2 0.0912 0.4811 0.8081 1
N3 0.1521 0.9546 0.8813 1
N4 0.2116 0.7288 0.9593 1
N5 0.2804 0.5057 0.0341 1
N6 0.3193 0.9775 0.1066 1
N7 0.3981 0.7481 0.1827 1
N8 0.6019 0.2519 0.8173 1
N9 0.6807 0.0225 0.8934 1
N10 0.7196 0.4943 0.9659 1
N11 0.7884 0.2712 0.0407 1
N12 0.8479 0.0454 0.1187 1
N13 0.9088 0.5189 0.1919 1
N14 0.9582 0.2910 0.2717 1
O1 0.0090 0.9442 0.6567 1
O2 0.0981 0.7077 0.4526 1
O3 0.1479 0.2630 0.8959 1
O4 0.3543 0.5849 0.5647 1
O5 0.3759 0.2872 0.5740 1
O6 0.4536 0.3317 0.1757 1
O7 0.4715 0.9793 0.3279 1
O8 0.5285 0.0207 0.6721 1
O9 0.5464 0.6683 0.8243 1
O10 0.6241 0.7128 0.4260 1
O11 0.6457 0.4151 0.4353 1
O12 0.8521 0.7370 0.1041 1
O13 0.9019 0.2923 0.5474 1
O14 0.9910 0.0558 0.3433 1
# * DFT total energy: -6.586 eV per atom

---

> What is the DFT total energy in the first record?

-6.733 eV per atom

---

> Look up the DFT total energy of the second one.

-6.586 eV per atom

---

> Which value of DFT total energy does entry 2 give?

-6.586 eV per atom